Record 1
Zr2PPt PBE optimized geometry; raw total energy = -7.696 eV per atom; formation energy = -0.5592 eV per atom
1.0
6.318 -1.957 -0.050
6.318 1.957 -0.050
5.738 0.000 3.290
Zr P Pt
2 1 1
Direct
0.977 0.977 0.977
0.776 0.776 0.776
0.530 0.530 0.530
0.217 0.217 0.217

---

Record 2
ZrPPt2 PBE optimized geometry; raw total energy = -7.345 eV per atom; formation energy = -0.8346 eV per atom
1.0
1.911 3.519 3.805
-4.667 -2.448 -1.656
0.654 -2.736 2.202
Zr P Pt
1 1 2
Direct
0.459 0.541 0.000
0.043 0.957 0.500
0.187 0.813 0.000
0.810 0.190 0.500

---

Record 3
ZrPPt2 PBE optimized geometry; raw total energy = -6.989 eV per atom; formation energy = -0.4788 eV per atom
1.0
2.201 -3.812 0.000
2.201 3.812 0.000
0.000 0.000 8.539
Zr P Pt
2 2 4
Direct
0.333 0.667 0.250
0.667 0.333 0.750
0.000 0.000 0.250
0.000 0.000 0.750
0.333 0.667 0.580
0.667 0.333 0.080
0.667 0.333 0.420
0.333 0.667 0.920

---

Record 4
Zr2PPt PBE optimized geometry; raw total energy = -8.017 eV per atom; formation energy = -0.8801 eV per atom
1.0
2.898 -3.649 0.000
2.898 3.649 0.000
0.000 0.000 3.413
Zr P Pt
2 1 1
Direct
0.000 0.500 0.000
0.500 0.000 0.000
0.500 0.500 0.500
0.000 0.000 0.500

---

Record 5
ZrP4Pt PBE optimized geometry; raw total energy = -5.923 eV per atom; formation energy = 0.1146 eV per atom
1.0
-0.253 -4.721 -1.828
-3.646 -1.252 -3.292
1.166 -0.906 -4.849
Zr P Pt
1 4 1
Direct
0.000 0.000 0.000
0.622 0.622 0.133
0.622 0.133 0.622
0.622 0.622 0.622
0.133 0.622 0.622
0.250 0.250 0.250

---

Record 6
Zr2PPt PBE optimized geometry; raw total energy = -8.117 eV per atom; formation energy = -0.9801 eV per atom
1.0
3.807 0.000 0.000
0.000 3.807 0.000
0.000 0.000 5.542
Zr P Pt
2 1 1
Direct
0.000 0.000 0.500
0.500 0.500 0.000
0.000 0.000 0.000
0.500 0.500 0.500

---

Record 7
Zr2PPt PBE optimized geometry; raw total energy = -8.256 eV per atom; formation energy = -1.1190 eV per atom
1.0
-4.214 3.099 2.034
3.210 -4.422 1.281
2.481 2.283 1.663
Zr P Pt
2 1 1
Direct
0.025 0.975 0.000
0.713 0.287 0.500
0.460 0.540 0.500
0.302 0.698 0.000

---

Record 8
ZrP2Pt PBE optimized geometry; raw total energy = -7.114 eV per atom; excess energy over the best structure of this formula in the dataset = 0.124 eV/atom; formation energy = -0.7615 eV per atom
1.0
-2.568 2.267 0.941
-0.572 -1.876 2.962
3.582 2.986 2.583
P Pt Zr
2 1 1
Direct
0.000 0.000 0.948
0.500 0.500 0.318
0.000 0.000 0.431
0.500 0.500 0.803

---

Record 9
PuP PBE optimized geometry; raw total energy = -11.019 eV per atom; formation energy = -1.1483 eV per atom
1.0
4.001 0.000 0.000
2.001 3.465 0.000
2.001 1.155 3.267
P Pu
1 1
Direct
0.500 0.500 0.500
0.000 0.000 0.000

---

Record 10
Pu5P PBE optimized geometry; raw total energy = -13.020 eV per atom; formation energy = -0.1751 eV per atom
1.0
4.353 0.000 0.000
0.000 4.272 0.000
0.000 -2.136 7.021
P Pu
1 5
Direct
0.000 0.000 0.000
0.500 0.854 0.707
0.000 0.656 0.312
0.500 0.500 0.000
0.000 0.344 0.688
0.500 0.146 0.293

---

Record 11
PuP PBE optimized geometry; raw total energy = -10.358 eV per atom; formation energy = -0.4874 eV per atom
1.0
3.856 0.000 -0.610
0.000 3.425 0.000
-3.432 0.000 5.750
P Pu
2 2
Direct
0.538 0.750 0.659
0.462 0.250 0.341
0.757 0.750 0.139
0.243 0.250 0.861

---

Record 12
Pu4P3 PBE optimized geometry; raw total energy = -11.331 eV per atom; excess energy over the best structure of this formula in the dataset = 0.226 eV/atom; formation energy = -0.8226 eV per atom
1.0
3.828 0.000 0.000
1.914 3.315 0.000
1.914 1.105 11.211
Pu P
4 3
Direct
0.384 0.384 0.849
0.151 0.151 0.546
0.849 0.849 0.454
0.616 0.616 0.151
0.767 0.767 0.699
0.233 0.233 0.301
0.000 0.000 0.000

---

Record 13
Pu4P PBE optimized geometry; raw total energy = -12.455 eV per atom; formation energy = 0.0923 eV per atom
1.0
-0.207 -5.056 1.867
3.680 -1.498 -3.647
3.937 1.134 3.507
P Pu
1 4
Direct
0.500 0.500 0.500
0.000 0.000 0.000
0.500 0.000 0.500
0.000 0.500 0.500
0.500 0.500 0.000

---

Record 14
Pu3P4 PBE optimized geometry; raw total energy = -10.175 eV per atom; formation energy = -0.9414 eV per atom
1.0
-3.423 0.349 6.222
0.503 -6.790 -2.051
6.519 2.746 0.724
Pu P
6 8
Direct
0.125 0.375 0.250
0.625 0.750 0.875
0.875 0.250 0.625
0.250 0.875 0.125
0.750 0.625 0.375
0.375 0.125 0.750
0.340 0.500 0.000
0.500 0.340 0.500
0.000 0.000 0.340
0.660 0.160 0.160
0.000 0.000 0.840
0.160 0.660 0.660
0.840 0.500 0.000
0.500 0.840 0.500

---

Record 15
Pu5P3 PBE optimized geometry; raw total energy = -11.767 eV per atom; formation energy = -0.7809 eV per atom
1.0
5.971 0.000 0.000
0.000 7.314 -4.223
0.000 0.000 8.445
Pu P
10 6
Direct
0.000 0.667 0.333
0.000 0.333 0.667
0.500 0.333 0.667
0.500 0.667 0.333
0.250 0.000 0.729
0.250 0.729 0.000
0.250 0.271 0.271
0.750 0.000 0.271
0.750 0.271 0.000
0.750 0.729 0.729
0.250 0.000 0.377
0.250 0.377 0.000
0.250 0.623 0.623
0.750 0.000 0.623
0.750 0.623 0.000
0.750 0.377 0.377

---

Record 16
Pu4P3 PBE optimized geometry; raw total energy = -11.557 eV per atom; excess energy over the best structure of this formula in the dataset = 0.000 eV/atom; formation energy = -1.0486 eV per atom
1.0
6.955 0.000 -2.459
-3.478 6.024 -2.459
0.000 0.000 7.377
Pu P
8 6
Direct
0.357 0.500 0.000
0.500 0.357 0.500
0.000 0.000 0.357
0.643 0.143 0.143
0.000 0.000 0.857
0.143 0.643 0.643
0.857 0.500 0.000
0.500 0.857 0.500
0.125 0.375 0.250
0.625 0.750 0.875
0.875 0.250 0.625
0.250 0.875 0.125
0.750 0.625 0.375
0.375 0.125 0.750

---

Record 17
RbPuPS6 PBE optimized geometry; raw total energy = -5.522 eV per atom; raw formation energy = -469 meV/atom
1.0
6.310 0.000 0.000
3.155 5.465 0.000
0.000 0.000 7.693
Rb Pu P S
1 1 1 6
Direct
0.000 0.000 0.000
0.667 0.667 0.500
0.333 0.333 0.500
0.036 0.346 0.326
0.346 0.036 0.674
0.618 0.346 0.674
0.036 0.618 0.674
0.346 0.618 0.326
0.618 0.036 0.326

---

Record 18
RbPuP2S8 PBE optimized geometry; raw total energy = -5.502 eV per atom; raw formation energy = -574 meV/atom
1.0
-3.244 -4.503 2.682
2.910 -4.513 3.027
-0.571 2.302 10.258
Rb Pu P S
1 1 2 8
Direct
0.500 0.500 0.500
0.000 0.000 0.000
0.257 0.257 0.228
0.743 0.743 0.772
0.191 0.191 0.428
0.591 0.296 0.159
0.809 0.809 0.572
0.954 0.591 0.159
0.046 0.409 0.841
0.296 0.954 0.159
0.704 0.046 0.841
0.409 0.704 0.841

---

Record 19
PuRe4P2 PBE optimized geometry; raw total energy = -11.178 eV per atom; formation energy = -0.4718 eV per atom
1.0
-2.106 3.021 1.596
-2.689 -2.652 1.471
5.029 0.820 5.086
Pu Re P
1 4 2
Direct
0.000 0.000 0.000
0.500 0.819 0.637
0.000 0.691 0.383
0.500 0.181 0.363
0.000 0.309 0.617
0.500 0.585 0.171
0.500 0.415 0.829

---

Record 20
Pu3P4Rh4 PBE optimized geometry; raw total energy = -9.514 eV per atom; formation energy = -0.9645 eV per atom
1.0
3.800 0.000 -0.945
-0.867 6.173 -3.486
-0.095 0.220 7.730
Pu P Rh
3 4 4
Direct
0.110 0.110 0.221
0.890 0.890 0.779
0.000 0.500 0.000
0.221 0.721 0.441
0.779 0.279 0.559
0.500 0.775 0.000
0.500 0.225 0.000
0.320 0.123 0.641
0.680 0.482 0.359
0.680 0.877 0.359
0.320 0.518 0.641